Record 1
# HfSbWSe2 PBE relaxed
# Magnetic moment = 0.0 μB/f.u.
# Raw total energy = -31.852 eV/f.u.
# E_form (uncorrected) = 207 kJ/mol of formula units
data_HfSbWSe2
_chemical_formula_sum 'Hf1 Sb1 W1 Se2'
_space_group_name_H-M_alt 'P 4/m m m'
_space_group_IT_number 123
_space_group_name_Hall '-P 4 2'
_cell_length_a 4.756
_cell_length_b 4.756
_cell_length_c 5.593
_cell_angle_alpha 90.00
_cell_angle_beta 90.00
_cell_angle_gamma 90.00
loop_
_atom_site_label
_atom_site_type_symbol
_atom_site_fract_x
_atom_site_fract_y
_atom_site_fract_z
Hf1 Hf 0.000 0.000 0.000
Sb1 Sb 0.500 0.500 0.000
W1 W 0.000 0.000 0.500
Se1 Se 0.000 0.500 0.500

Record 2
# TaCrC3 PBE relaxed
# Magnetic moment = 0.0 μB/f.u.
# Energy above the most stable polymorph in this dataset = 0.0 kJ/mol of atoms
# Raw total energy = -41.714 eV/f.u.
# Energy of formation = 1.49 eV/atom
data_TaCrC3
_chemical_formula_sum 'Ta1 Cr1 C3'
_space_group_name_H-M_alt 'P m -3 m'
_space_group_IT_number 221
_space_group_name_Hall '-P 4 2 3'
_cell_length_a 3.720
_cell_length_b 3.720
_cell_length_c 3.720
_cell_angle_alpha 90.00
_cell_angle_beta 90.00
_cell_angle_gamma 90.00
loop_
_atom_site_label
_atom_site_type_symbol
_atom_site_fract_x
_atom_site_fract_y
_atom_site_fract_z
Ta1 Ta 0.000 0.000 0.000
Cr1 Cr 0.500 0.500 0.500
C1 C 0.000 0.500 0.500

Record 3
# Ho8CoTe2 PBE relaxed
# Magnetic moment = 0.0 μB/f.u.
# Raw total energy = -54.031 eV/f.u.
# E_form (uncorrected) = -388 kJ/mol of formula units
data_Ho8CoTe2
_chemical_formula_sum 'Ho16 Co2 Te4'
_space_group_name_H-M_alt 'C 1 2/m 1'
_space_group_IT_number 12
_cell_length_a 14.457
_cell_length_b 7.525
_cell_length_c 6.190
_cell_angle_alpha 90.00
_cell_angle_beta 102.83
_cell_angle_gamma 90.00
loop_
_space_group_symop_operation_xyz
'x,y,z'
'-x,-y,-z'
'-x,y,-z'
'x,-y,z'
'x+1/2,y+1/2,z'
'-x+1/2,-y+1/2,-z'
'-x+1/2,y+1/2,-z'
'x+1/2,-y+1/2,z'
loop_
_atom_site_label
_atom_site_type_symbol
_atom_site_fract_x
_atom_site_fract_y
_atom_site_fract_z
Ho1 Ho 0.079 0.242 0.303
Ho2 Ho 0.116 0.500 0.851
Ho3 Ho 0.152 0.000 0.864
Co1 Co 0.000 0.000 0.000
Te1 Te 0.245 0.500 0.524

Record 4
# PuUW PBE relaxed
# Magnetic moment = 0.0 μB/f.u.
# Raw total energy = -37.622 eV/f.u.
# Energy of formation = 0.32 eV/atom
data_PuUW
_chemical_formula_sum 'Pu6 U6 W6'
_space_group_name_H-M_alt 'R -3 m'
_space_group_IT_number 166
_space_group_name_Hall '-R 3 2"'
_cell_length_a 4.4779
_cell_length_b 4.4779
_cell_length_c 19.8209
_cell_angle_alpha 90.00
_cell_angle_beta 90.00
_cell_angle_gamma 120.00
loop_
_atom_site_label
_atom_site_type_symbol
_atom_site_fract_x
_atom_site_fract_y
_atom_site_fract_z
Pu1 Pu 0.0000 0.0000 0.0579
U1 U 0.0000 0.0000 0.3962
W1 W 0.0000 0.0000 0.2018

Record 5
# Sb2PtSe PBE relaxed
# Magnetic moment = 0.0 μB/f.u.
# Raw total energy = -16.564 eV/f.u.
# E_form (uncorrected) = 116 kJ/mol of formula units
data_Sb2PtSe
_chemical_formula_sum 'Sb8 Pt4 Se4'
_space_group_name_H-M_alt 'F -4 3 m'
_space_group_IT_number 216
_space_group_name_Hall 'F -4 2 3'
_cell_length_a 7.053
_cell_length_b 7.053
_cell_length_c 7.053
_cell_angle_alpha 90.00
_cell_angle_beta 90.00
_cell_angle_gamma 90.00
loop_
_atom_site_label
_atom_site_type_symbol
_atom_site_fract_x
_atom_site_fract_y
_atom_site_fract_z
Sb1 Sb 0.000 0.000 0.000
Sb2 Sb 0.250 0.250 0.250
Pt1 Pt 0.000 0.000 0.500
Se1 Se 0.250 0.250 0.750

Record 6
# CsBi2Br7 PBE relaxed
# Magnetic moment = 0.0 μB/f.u.
# Energy above the most stable polymorph in this dataset = 6.1 kJ/mol of atoms
# Raw total energy = -29.418 eV/f.u.
# E_form (uncorrected) = -877 kJ/mol of formula units
data_CsBi2Br7
_chemical_formula_sum 'Cs2 Bi4 Br14'
_space_group_name_H-M_alt 'C m m m'
_space_group_IT_number 65
_space_group_name_Hall '-C 2 2'
_cell_length_a 9.242
_cell_length_b 14.804
_cell_length_c 5.761
_cell_angle_alpha 90.00
_cell_angle_beta 90.00
_cell_angle_gamma 90.00
loop_
_atom_site_label
_atom_site_type_symbol
_atom_site_fract_x
_atom_site_fract_y
_atom_site_fract_z
Cs1 Cs 0.000 0.000 0.000
Bi1 Bi 0.000 0.298 0.500
Br1 Br 0.000 0.283 0.000
Br2 Br 0.000 0.500 0.500
Br3 Br 0.188 0.137 0.500

Record 7
# Ca2Sb2Mo PBE relaxed
# Magnetic moment = 0.0 μB/f.u.
# Raw total energy = -24.800 eV/f.u.
# E_form (uncorrected) = -166 kJ/mol of formula units
data_Ca2Sb2Mo
_chemical_formula_sum 'Ca4 Sb4 Mo2'
_space_group_name_H-M_alt 'P 4/m b m'
_space_group_IT_number 127
_space_group_name_Hall '-P 4 2ab'
_cell_length_a 7.315
_cell_length_b 7.315
_cell_length_c 4.749
_cell_angle_alpha 90.00
_cell_angle_beta 90.00
_cell_angle_gamma 90.00
loop_
_atom_site_label
_atom_site_type_symbol
_atom_site_fract_x
_atom_site_fract_y
_atom_site_fract_z
Ca1 Ca 0.170 0.330 0.000
Sb1 Sb 0.147 0.647 0.500
Mo1 Mo 0.000 0.000 0.500

Record 8
# Sm8Cd PBE relaxed
# Magnetic moment = 0.0 μB/f.u.
# Energy above the most stable polymorph in this dataset = 0.0 kJ/mol of atoms
# Raw total energy = -38.814 eV/f.u.
# Energy of formation = -0.02 eV/atom
data_Sm8Cd
_chemical_formula_sum 'Sm16 Cd2'
_space_group_name_H-M_alt 'C 1 2/m 1'
_space_group_IT_number 12
_cell_length_a 5.037
_cell_length_b 15.192
_cell_length_c 7.989
_cell_angle_alpha 90.00
_cell_angle_beta 108.21
_cell_angle_gamma 90.00
loop_
_space_group_symop_operation_xyz
'x,y,z'
'-x,-y,-z'
'-x,y,-z'
'x,-y,z'
'x+1/2,y+1/2,z'
'-x+1/2,-y+1/2,-z'
'-x+1/2,y+1/2,-z'
'x+1/2,-y+1/2,z'
loop_
_atom_site_label
_atom_site_type_symbol
_atom_site_fract_x
_atom_site_fract_y
_atom_site_fract_z
Sm1 Sm 0.000 0.164 0.000
Sm2 Sm 0.165 0.000 0.328
Sm3 Sm 0.167 0.334 0.332
Cd1 Cd 0.000 0.500 0.000

Record 9
# Tl3In6Ag PBE relaxed
# Magnetic moment = 0.0 μB/f.u.
# Raw total energy = -26.003 eV/f.u.
# Energy of formation = 0.04 eV/atom
data_Tl3In6Ag
_chemical_formula_sum 'Tl3 In6 Ag1'
_space_group_name_H-M_alt 'P -3 m 1'
_space_group_IT_number 164
_space_group_name_Hall '-P 3 2"'
_cell_length_a 3.3904
_cell_length_b 3.3904
_cell_length_c 27.1887
_cell_angle_alpha 90.00
_cell_angle_beta 90.00
_cell_angle_gamma 120.00
loop_
_atom_site_label
_atom_site_type_symbol
_atom_site_fract_x
_atom_site_fract_y
_atom_site_fract_z
Tl1 Tl 0.0000 0.0000 0.0000
Tl2 Tl 0.0000 0.0000 0.3145
In1 In 0.3333 0.6667 0.1055
In2 In 0.3333 0.6667 0.4173
In3 In 0.3333 0.6667 0.7936
Ag1 Ag 0.0000 0.0000 0.5000

Record 10
# LiI PBE relaxed
# Magnetic moment = 0.0 μB/f.u.
# Energy above the most stable polymorph in this dataset = 2.4 kJ/mol of atoms
# Raw total energy = -5.849 eV/f.u.
# E_form (uncorrected) = -230 kJ/mol of formula units
data_LiI
_chemical_formula_sum 'Li8 I8'
_space_group_name_H-M_alt 'I 4/m'
_space_group_IT_number 87
_space_group_name_Hall '-I 4'
_cell_length_a 11.709
_cell_length_b 11.709
_cell_length_c 4.544
_cell_angle_alpha 90.00
_cell_angle_beta 90.00
_cell_angle_gamma 90.00
loop_
_atom_site_label
_atom_site_type_symbol
_atom_site_fract_x
_atom_site_fract_y
_atom_site_fract_z
Li1 Li 0.137 0.706 0.000
I1 I 0.098 0.276 0.000

Record 11
# BeCoBI2 PBE relaxed
# Magnetic moment = 0.0 μB/f.u.
# Raw total energy = -14.066 eV/f.u.
# E_form (uncorrected) = 631 kJ/mol of formula units
data_BeCoBI2
_chemical_formula_sum 'Be1 Co1 B1 I2'
_space_group_name_H-M_alt 'P 4/m m m'
_space_group_IT_number 123
_space_group_name_Hall '-P 4 2'
_cell_length_a 5.150
_cell_length_b 5.150
_cell_length_c 4.029
_cell_angle_alpha 90.00
_cell_angle_beta 90.00
_cell_angle_gamma 90.00
loop_
_atom_site_label
_atom_site_type_symbol
_atom_site_fract_x
_atom_site_fract_y
_atom_site_fract_z
Be1 Be 0.000 0.000 0.000
Co1 Co 0.000 0.000 0.500
B1 B 0.500 0.500 0.000
I1 I 0.000 0.500 0.500

Record 12
# Mg2FeSe PBE relaxed
# Magnetic moment = 2.6 μB/f.u.
# Raw total energy = -14.487 eV/f.u.
# E_form (uncorrected) = 63 kJ/mol of formula units
data_Mg2FeSe
_chemical_formula_sum 'Mg8 Fe4 Se4'
_space_group_name_H-M_alt 'I -4 2 d'
_space_group_IT_number 122
_space_group_name_Hall 'I -4 2bw'
_cell_length_a 7.469
_cell_length_b 7.469
_cell_length_c 5.676
_cell_angle_alpha 90.00
_cell_angle_beta 90.00
_cell_angle_gamma 90.00
loop_
_atom_site_label
_atom_site_type_symbol
_atom_site_fract_x
_atom_site_fract_y
_atom_site_fract_z
Mg1 Mg 0.233 0.250 0.125
Fe1 Fe 0.000 0.000 0.500
Se1 Se 0.000 0.000 0.000

Please write out number 7 again, unchanged.
# Ca2Sb2Mo PBE relaxed
# Magnetic moment = 0.0 μB/f.u.
# Raw total energy = -24.800 eV/f.u.
# E_form (uncorrected) = -166 kJ/mol of formula units
data_Ca2Sb2Mo
_chemical_formula_sum 'Ca4 Sb4 Mo2'
_space_group_name_H-M_alt 'P 4/m b m'
_space_group_IT_number 127
_space_group_name_Hall '-P 4 2ab'
_cell_length_a 7.315
_cell_length_b 7.315
_cell_length_c 4.749
_cell_angle_alpha 90.00
_cell_angle_beta 90.00
_cell_angle_gamma 90.00
loop_
_atom_site_label
_atom_site_type_symbol
_atom_site_fract_x
_atom_site_fract_y
_atom_site_fract_z
Ca1 Ca 0.170 0.330 0.000
Sb1 Sb 0.147 0.647 0.500
Mo1 Mo 0.000 0.000 0.500